No. 1
The following is a GGA-PBE calculation of Cr3AgPd12 after structural relaxation, from the Alexandria database.

It has space group P4/mmm (No. 123), with a = 3.9310 Å, b = 3.9310 Å, c = 15.7065 Å, α = 90.00°, β = 90.00° and γ = 90.00°. The asymmetric unit holds Cr at (0.0000, 0.0000, 0.0000), Cr at (0.0000, 0.0000, 0.2467), Ag at (0.0000, 0.0000, 0.5000), Pd at (0.0000, 0.5000, 0.1236), Pd at (0.0000, 0.5000, 0.3683), Pd at (0.5000, 0.5000, 0.0000), Pd at (0.5000, 0.5000, 0.2463) and Pd at (0.5000, 0.5000, 0.5000).

The calculation puts the density of states at the Fermi level at 1.72 states/eV/atom. The calculation puts the total magnetic moment at 0.53 μB/atom. Its energy of formation from the pure elements is -0.06 eV per atom.

---

No. 2
The following is a GGA-PBE calculation of CrAg2Pd after structural relaxation, from the Alexandria database.

It has space group Fm-3m (No. 225), with a = 6.3389 Å, b = 6.3389 Å, c = 6.3389 Å, α = 90.00°, β = 90.00° and γ = 90.00°. The asymmetric unit holds Cr at (0.0000, 0.0000, 0.0000), Ag at (0.2500, 0.2500, 0.2500) and Pd at (0.0000, 0.0000, 0.5000).

The calculation puts the density of states at the Fermi level at 1.48 states/eV/atom. The calculation puts the total magnetic moment at 0.06 μB/atom. Its energy of formation from the pure elements is 0.59 eV per atom. The value obtained for the energy relative to the lowest polymorph listed for this composition is 0.096 eV per atom.

---

No. 3
The following is a GGA-PBE calculation of CrAg2Pd9 after structural relaxation, from the Alexandria database.

It has space group P4/mmm (No. 123), with a = 3.9645 Å, b = 3.9645 Å, c = 11.9020 Å, α = 90.00°, β = 90.00° and γ = 90.00°. The asymmetric unit holds Cr at (0.0000, 0.0000, 0.0000), Ag at (0.0000, 0.0000, 0.3307), Pd at (0.0000, 0.5000, 0.1588), Pd at (0.0000, 0.5000, 0.5000), Pd at (0.5000, 0.5000, 0.0000) and Pd at (0.5000, 0.5000, 0.3295).

The calculation puts the density of states at the Fermi level at 1.49 states/eV/atom. The calculation puts the total magnetic moment at 0.28 μB/atom. Its energy of formation from the pure elements is -0.03 eV per atom.

---

No. 4
The following is a GGA-PBE calculation of CrAgPd4 after structural relaxation, from the Alexandria database.

It has space group Pmmm (No. 47), with a = 2.8366 Å, b = 3.8641 Å, c = 8.4908 Å, α = 90.00°, β = 90.00° and γ = 90.00°. The asymmetric unit holds Cr at (0.0000, 0.0000, 0.0000), Ag at (0.5000, 0.5000, 0.5000), Pd at (0.0000, 0.0000, 0.3233) and Pd at (0.5000, 0.5000, 0.1578).

The calculation puts the density of states at the Fermi level at 0.93 states/eV/atom. The calculation puts the total magnetic moment at 0.52 μB/atom. Its energy of formation from the pure elements is -0.01 eV per atom.

---

No. 5
The following is a GGA-PBE calculation of CrAgPd14 after structural relaxation, from the Alexandria database.

It has space group P4/mmm (No. 123), with a = 5.6041 Å, b = 5.6041 Å, c = 7.8511 Å, α = 90.00°, β = 90.00° and γ = 90.00°. The asymmetric unit holds Cr at (0.0000, 0.0000, 0.0000), Ag at (0.5000, 0.5000, 0.0000), Pd at (0.0000, 0.0000, 0.5000), Pd at (0.0000, 0.5000, 0.0000), Pd at (0.0000, 0.5000, 0.5000), Pd at (0.2462, 0.2462, 0.2479) and Pd at (0.5000, 0.5000, 0.5000).

The calculation puts the density of states at the Fermi level at 1.92 states/eV/atom. The calculation puts the total magnetic moment at 0.06 μB/atom. Its energy of formation from the pure elements is -0.01 eV per atom.

---

No. 6
The following is a GGA-PBE calculation of CrAg2Pd5 after structural relaxation, from the Alexandria database.

It has space group I4/mmm (No. 139), with a = 3.9802 Å, b = 3.9802 Å, c = 15.8808 Å, α = 90.00°, β = 90.00° and γ = 90.00°. The asymmetric unit holds Cr at (0.0000, 0.0000, 0.0000), Ag at (0.0000, 0.0000, 0.2503), Pd at (0.0000, 0.0000, 0.5000) and Pd at (0.0000, 0.5000, 0.1185).

The calculation puts the density of states at the Fermi level at 1.18 states/eV/atom. The calculation puts the total magnetic moment at 0.36 μB/atom. Its energy of formation from the pure elements is -0.05 eV per atom.

---

No. 7
The following is a GGA-PBE calculation of CrAg2Pd after structural relaxation, from the Alexandria database.

It has space group I-42d (No. 122), with a = 7.3990 Å, b = 7.3990 Å, c = 5.4161 Å, α = 90.00°, β = 90.00° and γ = 90.00°. The asymmetric unit holds Cr at (0.0000, 0.0000, 0.0000), Ag at (0.2481, 0.2500, 0.6250) and Pd at (0.0000, 0.0000, 0.5000).

The calculation puts the density of states at the Fermi level at 0.49 states/eV/atom. The calculation puts the total magnetic moment at 1.08 μB/atom. Its energy of formation from the pure elements is 0.49 eV per atom. The value obtained for the energy relative to the lowest polymorph listed for this composition is 0.000 eV per atom.

---

No. 8
The following is a GGA-PBE calculation of CrAgPd5 after structural relaxation, from the Alexandria database.

It has space group P4/mmm (No. 123), with a = 3.9990 Å, b = 3.9990 Å, c = 7.1527 Å, α = 90.00°, β = 90.00° and γ = 90.00°. The asymmetric unit holds Cr at (0.0000, 0.0000, 0.0000), Ag at (0.5000, 0.5000, 0.5000), Pd at (0.0000, 0.0000, 0.5000) and Pd at (0.0000, 0.5000, 0.2144).

The calculation puts the density of states at the Fermi level at 0.71 states/eV/atom. The calculation puts the total magnetic moment at 0.40 μB/atom. Its energy of formation from the pure elements is 0.10 eV per atom.